i.
Entry from Alexandria: crystalline GaAsS at its relaxed geometry (PBE).

Summary:
Calculated density: 4.77 g/cm3
Total magnetization: 0.00 μB per formula unit
N(E_F): 0.8 states/eV/f.u.
Space group: No. 31

a = 3.753 Å, b = 4.156 Å, c = 7.888 Å
α = 90.00°, β = 90.00°, γ = 90.00°
Positions (direct):
Ga: 0.000 0.900 0.667
Ga: 0.500 0.400 0.333
As: 0.000 0.009 0.981
As: 0.500 0.509 0.019
S: 0.000 0.058 0.380
S: 0.500 0.558 0.620


ii.
Entry from Alexandria: crystalline GaAsS at its relaxed geometry (PBE).

Summary:
Calculated density: 3.62 g/cm3
Total magnetization: 0.00 μB per formula unit
Space group: No. 14

a = 5.638 Å, b = 7.474 Å, c = 8.119 Å
α = 108.58°, β = 90.00°, γ = 90.00°
Positions (direct):
S: 0.514 0.333 0.727
S: 0.014 0.667 0.773
S: 0.486 0.667 0.273
S: 0.986 0.333 0.227
Ga: 0.224 0.111 0.684
Ga: 0.724 0.889 0.816
Ga: 0.776 0.889 0.316
Ga: 0.276 0.111 0.184
As: 0.285 0.900 0.868
As: 0.785 0.100 0.632
As: 0.715 0.100 0.132
As: 0.215 0.900 0.368


Stability, lowest: ii


i.
Entry from Alexandria: crystalline GaAs2S at its relaxed geometry (PBE).

Summary:
Calculated density: 5.69 g/cm3
Total magnetization: 0.00 μB per formula unit
N(E_F): 2.6 states/eV/f.u.
Space group: No. 225

a = 4.701 Å, b = 4.701 Å, c = 4.701 Å
α = 60.00°, β = 60.00°, γ = 60.00°
Positions (direct):
As: 0.250 0.250 0.250
As: 0.750 0.750 0.750
S: 0.000 0.000 0.000
Ga: 0.500 0.500 0.500


ii.
Entry from Alexandria: crystalline GaAs2S at its relaxed geometry (PBE).

Summary:
Calculated density: 4.30 g/cm3
Total magnetization: 0.00 μB per formula unit
N(E_F): 1.0 states/eV/f.u.
Space group: No. 122

a = 5.365 Å, b = 5.365 Å, c = 7.751 Å
α = 69.75°, β = 69.75°, γ = 90.00°
Positions (direct):
As: 0.611 0.125 0.250
As: 0.139 0.625 0.250
As: 0.375 0.389 0.750
As: 0.875 0.861 0.750
S: 0.500 0.500 0.000
S: 0.250 0.750 0.500
Ga: 0.000 0.000 0.000
Ga: 0.750 0.250 0.500


Stability, lowest: i


i.
Entry from Alexandria: crystalline GaAsS3 at its relaxed geometry (PBE).

Summary:
Calculated density: 3.12 g/cm3
Total magnetization: 0.00 μB per formula unit
Space group: No. 38

a = 3.852 Å, b = 5.923 Å, c = 5.923 Å
α = 108.39°, β = 90.00°, γ = 90.00°
Positions (direct):
Ga: 0.500 0.082 0.918
As: 0.000 0.464 0.536
S: 0.500 0.680 0.816
S: 0.000 0.219 0.781
S: 0.500 0.184 0.320


ii.
Entry from Alexandria: crystalline GaAsS3 at its relaxed geometry (PBE).

Summary:
Calculated density: 3.64 g/cm3
Total magnetization: 0.00 μB per formula unit
N(E_F): 6.6 states/eV/f.u.
Space group: No. 221

a = 4.789 Å, b = 4.789 Å, c = 4.789 Å
α = 90.00°, β = 90.00°, γ = 90.00°
Positions (direct):
As: 0.000 0.000 0.000
S: 0.000 0.500 0.000
S: 0.000 0.000 0.500
S: 0.500 0.000 0.000
Ga: 0.500 0.500 0.500


Stability, lowest: ii


i.
Entry from Alexandria: crystalline GaAs2SeS at its relaxed geometry (PBE).

Summary:
Calculated density: 4.69 g/cm3
Total magnetization: 0.00 μB per formula unit
N(E_F): 5.3 states/eV/f.u.
Space group: No. 123

a = 4.868 Å, b = 4.868 Å, c = 4.934 Å
α = 90.00°, β = 90.00°, γ = 90.00°
Positions (direct):
S: 0.000 0.000 0.000
As: 0.000 0.500 0.000
As: 0.500 0.000 0.000
Ga: 0.500 0.500 0.500
Se: 0.000 0.000 0.500


ii.
Entry from Alexandria: crystalline GaAs2SeS at its relaxed geometry (PBE).

Summary:
Calculated density: 4.63 g/cm3
Total magnetization: 0.00 μB per formula unit
N(E_F): 4.9 states/eV/f.u.
Space group: No. 123

a = 4.970 Å, b = 4.970 Å, c = 4.795 Å
α = 90.00°, β = 90.00°, γ = 90.00°
Positions (direct):
S: 0.500 0.500 0.500
As: 0.000 0.500 0.000
As: 0.500 0.000 0.000
Ga: 0.000 0.000 0.000
Se: 0.000 0.000 0.500


Stability, lowest: ii


i.
Entry from Alexandria: crystalline GaAsSe2S at its relaxed geometry (PBE).

Summary:
Calculated density: 4.66 g/cm3
Total magnetization: 0.00 μB per formula unit
N(E_F): 5.2 states/eV/f.u.
Space group: No. 123

a = 4.869 Å, b = 4.869 Å, c = 5.034 Å
α = 90.00°, β = 90.00°, γ = 90.00°
Positions (direct):
S: 0.500 0.500 0.500
As: 0.000 0.000 0.500
Ga: 0.000 0.000 0.000
Se: 0.000 0.500 0.000
Se: 0.500 0.000 0.000


ii.
Entry from Alexandria: crystalline GaAsSe2S at its relaxed geometry (PBE).

Summary:
Calculated density: 4.68 g/cm3
Total magnetization: 0.60 μB per formula unit
N(E_F): 3.9 states/eV/f.u.
Space group: No. 123

a = 4.935 Å, b = 4.935 Å, c = 4.879 Å
α = 90.00°, β = 90.00°, γ = 90.00°
Last column: magnetic moment on the atom in μB.
Positions (direct):
S: 0.000 0.000 0.000  0.00
As: 0.000 0.000 0.500  0.20
Ga: 0.500 0.500 0.500  0.01
Se: 0.000 0.500 0.000  0.05
Se: 0.500 0.000 0.000  0.05


Stability, lowest: i


i.
Entry from Alexandria: crystalline Ga3SbAs at its relaxed geometry (PBE).

Summary:
Calculated density: 4.59 g/cm3
Total magnetization: 0.00 μB per formula unit
N(E_F): 2.0 states/eV/f.u.
Space group: No. 221

a = 5.275 Å, b = 5.275 Å, c = 5.275 Å
α = 90.00°, β = 90.00°, γ = 90.00°
Positions (direct):
Sb: 0.000 0.000 0.000
As: 0.500 0.500 0.500
Ga: 0.000 0.500 0.000
Ga: 0.000 0.000 0.500
Ga: 0.500 0.000 0.000


ii.
Entry from Alexandria: crystalline Ga3SbAs at its relaxed geometry (PBE).

Summary:
Calculated density: 5.40 g/cm3
Total magnetization: 0.00 μB per formula unit
N(E_F): 1.7 states/eV/f.u.
Space group: No. 221

a = 4.998 Å, b = 4.998 Å, c = 4.998 Å
α = 90.00°, β = 90.00°, γ = 90.00°
Positions (direct):
Sb: 0.500 0.500 0.500
As: 0.000 0.000 0.000
Ga: 0.000 0.500 0.000
Ga: 0.000 0.000 0.500
Ga: 0.500 0.000 0.000


Stability, lowest: i